Model P:
{
  "formula": "NbP2SCl",
  "functional": "PBE",
  "state": "relaxed",
  "lattice_angstrom": [[-4.190, 1.623, -0.525], [-0.106, -1.638, -4.216], [-1.633, -3.733, 1.491]],
  "species": ["P", "P", "Nb", "S", "Cl"],
  "fractional_positions": [[0.500, 0.000, 0.000], [0.000, 0.500, 0.000], [0.500, 0.500, 0.500], [0.000, 0.000, 0.000], [0.000, 0.000, 0.500]],
  "n_ef_per_ev_cell": 5.07,
  "density_g_cm3": 4.16,
  "spacegroup": "P4/mmm, No. 123"
}

=====

Model Q:
{
  "formula": "NbP2SCl",
  "functional": "PBE",
  "state": "relaxed",
  "lattice_angstrom": [[-0.758, -2.062, 3.844], [3.275, -3.081, -1.007], [3.021, 2.566, 1.973]],
  "species": ["P", "P", "Nb", "Cl", "S"],
  "fractional_positions": [[0.500, 0.000, 0.000], [0.000, 0.000, 0.500], [0.500, 0.500, 0.500], [0.000, 0.000, 0.000], [0.000, 0.500, 0.000]],
  "n_ef_per_ev_cell": 3.35,
  "density_g_cm3": 4.09,
  "spacegroup": "P4/mmm, No. 123"
}

=====

Model R:
{
  "formula": "NbP2SCl",
  "functional": "PBE",
  "state": "relaxed",
  "lattice_angstrom": [[4.903, 0.000, 0.000], [0.000, 4.903, 0.000], [0.000, 0.000, 4.685]],
  "species": ["Nb", "P", "P", "S", "Cl"],
  "fractional_positions": [[0.000, 0.000, 0.000], [0.500, 0.000, 0.000], [0.000, 0.500, 0.000], [0.000, 0.000, 0.500], [0.500, 0.500, 0.500]],
  "n_ef_per_ev_cell": 3.53,
  "density_g_cm3": 3.28,
  "spacegroup": "P4/mmm, No. 123"
}

=====

Q: Which of them is the most stable? A: model R.

=====

Model P:
{
  "formula": "NbPS2Cl",
  "functional": "PBE",
  "state": "relaxed",
  "lattice_angstrom": [[-2.432, 2.292, -3.489], [-4.030, -0.238, 2.653], [1.111, 4.339, 2.076]],
  "species": ["P", "S", "S", "Nb", "Cl"],
  "fractional_positions": [[0.500, 0.500, 0.500], [0.500, 0.000, 0.000], [0.000, 0.500, 0.000], [0.000, 0.000, 0.000], [0.000, 0.000, 0.500]],
  "n_ef_per_ev_cell": 2.57,
  "density_g_cm3": 3.22,
  "spacegroup": "P4/mmm, No. 123"
}

=====

Model Q:
{
  "formula": "NbPS2Cl",
  "functional": "PBE",
  "state": "relaxed",
  "lattice_angstrom": [[-3.294, -1.826, 2.677], [3.075, -0.558, 3.403], [-0.987, 4.064, 1.558]],
  "species": ["Cl", "Nb", "S", "S", "P"],
  "fractional_positions": [[0.000, 0.000, 0.500], [0.500, 0.500, 0.500], [0.000, 0.500, 0.000], [0.500, 0.000, 0.000], [0.000, 0.000, 0.000]],
  "n_ef_per_ev_cell": 5.10,
  "density_g_cm3": 3.89,
  "spacegroup": "P4/mmm, No. 123"
}

=====

Q: Which of them is the most stable? A: model P.

=====

Model P:
{
  "formula": "NbPS2Cl",
  "functional": "PBE",
  "state": "relaxed",
  "lattice_angstrom": [[-1.819, -3.346, 2.750], [4.302, -1.048, 1.570], [-0.550, 3.408, 3.782]],
  "species": ["S", "S", "P", "Cl", "Nb"],
  "fractional_positions": [[0.500, 0.000, 0.000], [0.000, 0.500, 0.000], [0.000, 0.000, 0.500], [0.500, 0.500, 0.500], [0.000, 0.000, 0.000]],
  "n_ef_per_ev_cell": 4.02,
  "density_g_cm3": 3.28,
  "spacegroup": "P4/mmm, No. 123"
}

=====

Model Q:
{
  "formula": "NbPS2Cl",
  "functional": "PBE",
  "state": "relaxed",
  "lattice_angstrom": [[-3.806, 0.093, 2.497], [1.380, -3.715, 2.242], [2.050, 2.590, 3.029]],
  "species": ["S", "S", "Nb", "Cl", "P"],
  "fractional_positions": [[0.500, 0.000, 0.000], [0.000, 0.500, 0.000], [0.500, 0.500, 0.500], [0.000, 0.000, 0.000], [0.000, 0.000, 0.500]],
  "n_ef_per_ev_cell": 4.72,
  "density_g_cm3": 3.99,
  "spacegroup": "P4/mmm, No. 123"
}

=====

Q: Which of them is the most stable? A: model P.

=====

Model P:
{
  "formula": "NbSbPCl2",
  "functional": "PBE",
  "state": "relaxed",
  "lattice_angstrom": [[-5.058, -0.093, -0.598], [-0.250, -4.260, 2.783], [-0.576, 2.921, 4.419]],
  "species": ["P", "Sb", "Nb", "Cl", "Cl"],
  "fractional_positions": [[0.000, 0.000, 0.500], [0.000, 0.000, 0.000], [0.500, 0.500, 0.500], [0.500, 0.000, 0.000], [0.000, 0.500, 0.000]],
  "n_ef_per_ev_cell": 7.75,
  "density_g_cm3": 3.80,
  "spacegroup": "P4/mmm, No. 123"
}

=====

Model Q:
{
  "formula": "NbSbPCl2",
  "functional": "PBE",
  "state": "relaxed",
  "lattice_angstrom": [[4.766, 0.000, 0.000], [0.000, 4.766, 0.000], [0.000, 0.000, 5.233]],
  "species": ["Cl", "Cl", "Nb", "Sb", "P"],
  "fractional_positions": [[0.500, 0.000, 0.000], [0.000, 0.500, 0.000], [0.000, 0.000, 0.000], [0.500, 0.500, 0.500], [0.000, 0.000, 0.500]],
  "n_ef_per_ev_cell": 3.18,
  "density_g_cm3": 4.42,
  "spacegroup": "P4/mmm, No. 123"
}

=====

Q: Which of them is the most stable? A: model Q.

=====

Model P:
{
  "formula": "ScNbPCl2",
  "functional": "PBE",
  "state": "relaxed",
  "lattice_angstrom": [[4.772, 0.000, 0.000], [0.000, 4.772, 0.000], [0.000, 0.000, 5.054]],
  "species": ["Cl", "Cl", "Nb", "Sc", "P"],
  "fractional_positions": [[0.500, 0.000, 0.000], [0.000, 0.500, 0.000], [0.000, 0.000, 0.000], [0.500, 0.500, 0.500], [0.000, 0.000, 0.500]],
  "n_ef_per_ev_cell": 4.21,
  "density_g_cm3": 3.46,
  "spacegroup": "P4/mmm, No. 123"
}

=====

Model Q:
{
  "formula": "ScNbPCl2",
  "functional": "PBE",
  "state": "relaxed",
  "lattice_angstrom": [[-3.706, -1.108, 2.709], [2.845, -2.392, 2.913], [0.784, 4.459, 2.896]],
  "species": ["Cl", "Cl", "Sc", "P", "Nb"],
  "fractional_positions": [[0.500, 0.000, 0.000], [0.000, 0.500, 0.000], [0.000, 0.000, 0.000], [0.000, 0.000, 0.500], [0.500, 0.500, 0.500]],
  "n_ef_per_ev_cell": 7.04,
  "density_g_cm3": 3.32,
  "spacegroup": "P4/mmm, No. 123"
}

=====

Q: Which of them is the most stable? A: model P.

=====

Model P:
{
  "formula": "NbSiP2Cl",
  "functional": "PBE",
  "state": "relaxed",
  "lattice_angstrom": [[-2.143, -1.800, -3.554], [-0.931, -3.698, 2.434], [-3.867, 1.881, 1.379]],
  "species": ["P", "P", "Nb", "Cl", "Si"],
  "fractional_positions": [[0.000, 0.500, 0.000], [0.500, 0.000, 0.000], [0.500, 0.500, 0.500], [0.000, 0.000, 0.500], [0.000, 0.000, 0.000]],
  "n_ef_per_ev_cell": 3.69,
  "density_g_cm3": 3.92,
  "spacegroup": "P4/mmm, No. 123"
}

=====

Model Q:
{
  "formula": "NbSiP2Cl",
  "functional": "PBE",
  "state": "relaxed",
  "lattice_angstrom": [[4.888, 0.000, 0.000], [0.000, 4.888, 0.000], [0.000, 0.000, 4.760]],
  "species": ["Cl", "Nb", "Si", "P", "P"],
  "fractional_positions": [[0.000, 0.000, 0.500], [0.000, 0.000, 0.000], [0.500, 0.500, 0.500], [0.500, 0.000, 0.000], [0.000, 0.500, 0.000]],
  "n_ef_per_ev_cell": 3.14,
  "density_g_cm3": 3.19,
  "spacegroup": "P4/mmm, No. 123"
}

=====

Q: Which of them is the most stable? A: model Q.

=====

Model P:
{
  "formula": "NbSnPCl2",
  "functional": "PBE",
  "state": "relaxed",
  "lattice_angstrom": [[-5.034, -0.579, -0.349], [0.096, -3.205, 3.939], [-0.689, 4.010, 3.280]],
  "species": ["Sn", "Cl", "Cl", "P", "Nb"],
  "fractional_positions": [[0.000, 0.000, 0.000], [0.000, 0.500, 0.000], [0.500, 0.000, 0.000], [0.000, 0.000, 0.500], [0.500, 0.500, 0.500]],
  "n_ef_per_ev_cell": 7.74,
  "density_g_cm3": 3.86,
  "spacegroup": "P4/mmm, No. 123"
}

=====

Model Q:
{
  "formula": "NbSnPCl2",
  "functional": "PBE",
  "state": "relaxed",
  "lattice_angstrom": [[4.844, 0.000, 0.000], [0.000, 4.844, 0.000], [0.000, 0.000, 5.063]],
  "species": ["Cl", "Cl", "Sn", "P", "Nb"],
  "fractional_positions": [[0.000, 0.500, 0.000], [0.500, 0.000, 0.000], [0.500, 0.500, 0.500], [0.000, 0.000, 0.500], [0.000, 0.000, 0.000]],
  "n_ef_per_ev_cell": 3.30,
  "density_g_cm3": 4.38,
  "spacegroup": "P4/mmm, No. 123"
}

=====

Q: Which of them is the most stable? A: model Q.

=====

Model P:
{
  "formula": "NbSnP2Cl",
  "functional": "PBE",
  "state": "relaxed",
  "lattice_angstrom": [[-4.130, -2.765, 0.534], [0.177, -1.201, -4.849], [2.778, -3.941, 1.078]],
  "species": ["Cl", "Sn", "Nb", "P", "P"],
  "fractional_positions": [[0.000, 0.000, 0.500], [0.000, 0.000, 0.000], [0.500, 0.500, 0.500], [0.500, 0.000, 0.000], [0.000, 0.500, 0.000]],
  "n_ef_per_ev_cell": 4.73,
  "density_g_cm3": 4.16,
  "spacegroup": "P4/mmm, No. 123"
}

=====

Model Q:
{
  "formula": "NbSnP2Cl",
  "functional": "PBE",
  "state": "relaxed",
  "lattice_angstrom": [[-0.896, -4.316, 2.159], [-0.252, -2.151, -4.405], [4.763, -0.904, 0.169]],
  "species": ["Nb", "Cl", "Sn", "P", "P"],
  "fractional_positions": [[0.000, 0.000, 0.000], [0.000, 0.000, 0.500], [0.500, 0.500, 0.500], [0.500, 0.000, 0.000], [0.000, 0.500, 0.000]],
  "n_ef_per_ev_cell": 1.53,
  "density_g_cm3": 4.39,
  "spacegroup": "P4/mmm, No. 123"
}

=====

Q: Which of them is the most stable? A: model Q.

=====

Model P:
{
  "formula": "NbTcP2Cl",
  "functional": "PBE",
  "state": "relaxed",
  "lattice_angstrom": [[-0.946, 1.165, -4.285], [-3.961, -2.201, 0.276], [-2.187, 4.139, 1.608]],
  "species": ["Cl", "Nb", "P", "P", "Tc"],
  "fractional_positions": [[0.000, 0.000, 0.500], [0.500, 0.500, 0.500], [0.500, 0.000, 0.000], [0.000, 0.500, 0.000], [0.000, 0.000, 0.000]],
  "n_ef_per_ev_cell": 3.52,
  "density_g_cm3": 4.69,
  "spacegroup": "P4/mmm, No. 123"
}

=====

Model Q:
{
  "formula": "NbTcP2Cl",
  "functional": "PBE",
  "state": "relaxed",
  "lattice_angstrom": [[-3.003, -1.120, 3.665], [3.114, -3.427, 1.504], [2.187, 3.203, 2.770]],
  "species": ["Nb", "Tc", "Cl", "P", "P"],
  "fractional_positions": [[0.000, 0.000, 0.000], [0.500, 0.500, 0.500], [0.000, 0.000, 0.500], [0.500, 0.000, 0.000], [0.000, 0.500, 0.000]],
  "n_ef_per_ev_cell": 2.81,
  "density_g_cm3": 4.24,
  "spacegroup": "P4/mmm, No. 123"
}

=====

Q: Which of them is the most stable? A: model P.

=====

Model P:
{
  "formula": "TiNbP2Cl",
  "functional": "PBE",
  "state": "relaxed",
  "lattice_angstrom": [[-3.722, -0.196, 3.099], [-2.370, -2.946, -3.033], [1.951, -3.740, 2.108]],
  "species": ["P", "P", "Cl", "Nb", "Ti"],
  "fractional_positions": [[0.500, 0.000, 0.000], [0.000, 0.500, 0.000], [0.000, 0.000, 0.500], [0.000, 0.000, 0.000], [0.500, 0.500, 0.500]],
  "n_ef_per_ev_cell": 9.41,
  "density_g_cm3": 3.57,
  "spacegroup": "P4/mmm, No. 123"
}

=====

Model Q:
{
  "formula": "TiNbP2Cl",
  "functional": "PBE",
  "state": "relaxed",
  "lattice_angstrom": [[-3.584, 2.975, -0.854], [0.153, -1.135, -4.595], [-2.966, -3.364, 0.732]],
  "species": ["P", "P", "Ti", "Nb", "Cl"],
  "fractional_positions": [[0.500, 0.000, 0.000], [0.000, 0.500, 0.000], [0.000, 0.000, 0.000], [0.500, 0.500, 0.500], [0.000, 0.000, 0.500]],
  "n_ef_per_ev_cell": 3.97,
  "density_g_cm3": 3.88,
  "spacegroup": "P4/mmm, No. 123"
}

=====

Q: Which of them is the most stable? A: model Q.

=====

Model P:
{
  "formula": "TiNbPCl2",
  "functional": "PBE",
  "state": "relaxed",
  "lattice_angstrom": [[4.577, 0.000, 0.000], [0.000, 4.577, 0.000], [0.000, 0.000, 5.100]],
  "species": ["Nb", "Cl", "Cl", "P", "Ti"],
  "fractional_positions": [[0.500, 0.500, 0.500], [0.000, 0.500, 0.000], [0.500, 0.000, 0.000], [0.000, 0.000, 0.500], [0.000, 0.000, 0.000]],
  "n_ef_per_ev_cell": 7.03,
  "density_g_cm3": 3.77,
  "spacegroup": "P4/mmm, No. 123"
}

=====

Model Q:
{
  "formula": "TiNbPCl2",
  "functional": "PBE",
  "state": "relaxed",
  "lattice_angstrom": [[-0.068, -4.653, 1.004], [1.481, 0.934, 4.426], [-4.796, 0.398, 1.521]],
  "species": ["Nb", "Cl", "Cl", "P", "Ti"],
  "fractional_positions": [[0.000, 0.000, 0.000], [0.500, 0.000, 0.000], [0.000, 0.500, 0.000], [0.000, 0.000, 0.500], [0.500, 0.500, 0.500]],
  "n_ef_per_ev_cell": 10.24,
  "density_g_cm3": 3.52,
  "spacegroup": "P4/mmm, No. 123"
}

=====

Q: Which of them is the most stable? A: model P.

=====

Model P:
{
  "formula": "NbVPCl2",
  "functional": "PBE",
  "state": "relaxed",
  "lattice_angstrom": [[-2.983, 3.606, -1.106], [-3.724, -2.593, 1.590], [0.621, 1.922, 4.590]],
  "species": ["Cl", "Cl", "Nb", "P", "V"],
  "fractional_positions": [[0.500, 0.000, 0.000], [0.000, 0.500, 0.000], [0.000, 0.000, 0.000], [0.000, 0.000, 0.500], [0.500, 0.500, 0.500]],
  "n_ef_per_ev_cell": 5.45,
  "density_g_cm3": 3.52,
  "spacegroup": "P4/mmm, No. 123"
}

=====

Model Q:
{
  "formula": "NbVPCl2",
  "functional": "PBE",
  "state": "relaxed",
  "lattice_angstrom": [[-1.159, -4.159, -1.405], [1.621, -1.756, 3.860], [-4.538, 0.538, 2.151]],
  "species": ["Nb", "Cl", "Cl", "V", "P"],
  "fractional_positions": [[0.500, 0.500, 0.500], [0.500, 0.000, 0.000], [0.000, 0.500, 0.000], [0.000, 0.000, 0.000], [0.000, 0.000, 0.500]],
  "n_ef_per_ev_cell": 6.29,
  "density_g_cm3": 3.92,
  "spacegroup": "P4/mmm, No. 123"
}

=====

Q: Which of them is the most stable? A: model P.

=====

Model P:
{
  "formula": "NbVP2Cl",
  "functional": "PBE",
  "state": "relaxed",
  "lattice_angstrom": [[4.847, 0.000, 0.000], [0.000, 4.847, 0.000], [0.000, 0.000, 4.762]],
  "species": ["P", "P", "V", "Cl", "Nb"],
  "fractional_positions": [[0.000, 0.500, 0.000], [0.500, 0.000, 0.000], [0.500, 0.500, 0.500], [0.000, 0.000, 0.500], [0.000, 0.000, 0.000]],
  "n_ef_per_ev_cell": 10.38,
  "density_g_cm3": 3.58,
  "spacegroup": "P4/mmm, No. 123"
}

=====

Model Q:
{
  "formula": "NbVP2Cl",
  "functional": "PBE",
  "state": "relaxed",
  "lattice_angstrom": [[4.571, 0.000, 0.000], [0.000, 4.571, 0.000], [0.000, 0.000, 4.581]],
  "species": ["P", "P", "Nb", "V", "Cl"],
  "fractional_positions": [[0.000, 0.500, 0.000], [0.500, 0.000, 0.000], [0.500, 0.500, 0.500], [0.000, 0.000, 0.000], [0.000, 0.000, 0.500]],
  "n_ef_per_ev_cell": 5.43,
  "density_g_cm3": 4.18,
  "spacegroup": "P4/mmm, No. 123"
}

=====

Q: Which of them is the most stable? A: model Q.

=====

Model P:
{
  "formula": "YNbP2Cl",
  "functional": "PBE",
  "state": "relaxed",
  "lattice_angstrom": [[-3.544, 1.223, -3.682], [2.713, -2.784, -3.536], [-2.624, -4.054, 1.179]],
  "species": ["Nb", "P", "P", "Y", "Cl"],
  "fractional_positions": [[0.500, 0.500, 0.500], [0.500, 0.000, 0.000], [0.000, 0.500, 0.000], [0.000, 0.000, 0.000], [0.000, 0.000, 0.500]],
  "n_ef_per_ev_cell": 7.63,
  "density_g_cm3": 3.38,
  "spacegroup": "P4/mmm, No. 123"
}

=====

Model Q:
{
  "formula": "YNbP2Cl",
  "functional": "PBE",
  "state": "relaxed",
  "lattice_angstrom": [[4.901, 0.000, 0.000], [0.000, 4.901, 0.000], [0.000, 0.000, 4.673]],
  "species": ["P", "P", "Y", "Nb", "Cl"],
  "fractional_positions": [[0.500, 0.000, 0.000], [0.000, 0.500, 0.000], [0.500, 0.500, 0.500], [0.000, 0.000, 0.000], [0.000, 0.000, 0.500]],
  "n_ef_per_ev_cell": 1.63,
  "density_g_cm3": 4.13,
  "spacegroup": "P4/mmm, No. 123"
}

=====

Q: Which of them is the most stable? A: model Q.